Record 1
The following is a DFT calculation (PBE) of crystalline GaP2OsO at its relaxed geometry.

Unit cell a=4.8068 b=4.8068 c=3.6895 alpha=90.00 beta=90.00 gamma=90.00
Closest atoms and distances in Å follow each position.
Atoms (fractional coordinates):
Ga 0.0000 0.0000 0.0000  8 P 3.03
P 0.0000 0.5000 0.5000  2 Os 2.40
P 0.5000 0.0000 0.5000  2 Os 2.40
Os 0.5000 0.5000 0.5000  2 O 1.84
O 0.5000 0.5000 0.0000  2 Os 1.84

Calculated values
Raw formation energy, eV/atom: 0.14
Space group: P4/mmm, No. 123
Fermi-level density of states, states/eV/atom: 0.929
Total magnetic moment, μB per atom: 0.000

Record 2
The following is a DFT calculation (PBE) of crystalline LaEr2ThSb4 at its relaxed geometry.

Unit cell a=7.6772 b=4.4680 c=7.7444 alpha=90.00 beta=109.55 gamma=90.00
Closest atoms and distances in Å follow each position.
Atoms (fractional coordinates):
La 0.0000 0.0000 0.0000  6 Sb 3.22
Er 0.5000 0.0000 0.5000  6 Sb 3.08-3.09
Er 0.5000 0.5000 0.0000  6 Sb 3.11
Th 0.0000 0.5000 0.5000  6 Sb 3.19-3.20
Sb 0.2621 0.0000 0.7514  3 Er 3.08-3.11, 2 Th 3.20, 1 La 3.22
Sb 0.2636 0.5000 0.2576  3 Er 3.09-3.11, 1 Th 3.19, 2 La 3.22
Sb 0.7364 0.5000 0.7424  3 Er 3.09-3.11, 1 Th 3.19, 2 La 3.22
Sb 0.7379 0.0000 0.2486  3 Er 3.08-3.11, 2 Th 3.20, 1 La 3.22

Calculated values
Raw formation energy, eV/atom: -1.10
Space group: P2/m, No. 10
Fermi-level density of states, states/eV/atom: 0.222
Total magnetic moment, μB per atom: 0.000

Record 3
The following is a DFT calculation (PBE) of crystalline KGa5 at its relaxed geometry.

Unit cell a=4.5883 b=4.5883 c=7.7186 alpha=90.14 beta=90.14 gamma=61.86
Closest atoms and distances in Å follow each position.
Atoms (fractional coordinates):
K 0.0000 0.0000 0.0000  14 Ga 3.59-3.86
Ga 0.0000 0.0000 0.5000  12 Ga 2.96-3.05
Ga 0.3311 0.3311 0.6819  5 Ga 2.65-2.96
Ga 0.3323 0.3323 0.3190  4 Ga 2.65-2.80
Ga 0.6677 0.6677 0.6810  4 Ga 2.65-2.80
Ga 0.6689 0.6689 0.3181  5 Ga 2.65-2.96

Calculated values
Space group: C2/m, No. 12
Fermi-level density of states, states/eV/atom: 0.435
Formation energy, eV per formula unit: -0.42
Total magnetic moment, μB per atom: 0.000